# Li2TbHoSe4 PBE-GGA optimized geometry
# N(E_F)	0.00	states/eV per atom
# E_tot	-40.549	eV/cell
# V	23.30	Å³ per atom
# E_form (uncorrected)	-1697	meV per atom
# spin magnetization	0.000	μB per atom
data_Li2TbHoSe4
_chemical_formula_sum 'Li2 Tb1 Ho1 Se4'
_symmetry_space_group_name_H-M 'P 1 2/m 1'
_symmetry_Int_Tables_number 10
_cell_length_a 6.907
_cell_length_b 4.071
_cell_length_c 7.048
_cell_angle_alpha 90.00
_cell_angle_beta 109.85
_cell_angle_gamma 90.00
loop_
_symmetry_equiv_pos_as_xyz
'x,y,z'
'-x,-y,-z'
'-x,y,-z'
'x,-y,z'
loop_
_atom_site_label
_atom_site_type_symbol
_atom_site_fract_x
_atom_site_fract_y
_atom_site_fract_z
_atom_site_occupancy
Li1 Li 0.000 0.000 0.000 1
Li2 Li 0.000 0.500 0.500 1
Tb1 Tb 0.500 0.000 0.500 1
Ho1 Ho 0.500 0.500 0.000 1
Se1 Se 0.246 0.500 0.247 1
Se2 Se 0.247 0.000 0.751 1